Computed, not measured: an optimized crystal structure of Cd2RuSe at the PBE level of DFT.

```
Cd2RuSe
1.0
-1.826 2.264 -0.924
-2.445 -1.710 0.643
-0.116 3.197 8.058
Cd Ru Se
2 1 1
Direct
0.000 0.000 0.012
0.500 0.500 0.287
0.000 0.000 0.526
0.500 0.500 0.675
```

Summary:
ΔE_f (raw), eV per formula unit: -0.07
Final energy, hartree per atom: -0.1347
Space-group type: P4mm


Computed, not measured: an optimized crystal structure of CdRuSe at the PBE level of DFT.

```
CdRuSe
1.0
-2.275 1.105 2.226
2.646 -1.802 1.049
3.283 5.254 0.746
Cd Ru Se
1 1 1
Direct
0.000 0.000 0.037
0.667 0.333 0.370
0.333 0.667 0.593
```

Summary:
ΔE_f (raw), eV per formula unit: -0.17
Final energy, hartree per atom: -0.1696
Space-group type: P3m1


Computed, not measured: an optimized crystal structure of CdRuSe2 at the PBE level of DFT.

```
CdRuSe2
1.0
6.175 0.000 0.000
0.000 6.175 0.000
3.088 3.088 5.315
Ru Se Cd
2 4 2
Direct
0.500 0.500 0.000
0.250 0.750 0.500
0.579 0.125 0.250
0.171 0.625 0.250
0.375 0.421 0.750
0.875 0.829 0.750
0.000 0.000 0.000
0.750 0.250 0.500
```

Summary:
ΔE_f (raw), eV per formula unit: -0.19
Final energy, hartree per atom: -0.1594
Space-group type: I-42d


Computed, not measured: an optimized crystal structure of CdRuSe2 at the PBE level of DFT.

```
CdRuSe2
1.0
9.924 0.035 0.020
9.403 3.173 0.020
9.403 1.561 2.763
Cd Ru Se
1 1 2
Direct
0.490 0.490 0.490
0.746 0.746 0.746
0.026 0.026 0.026
0.238 0.238 0.238
```

Summary:
ΔE_f (raw), eV per formula unit: 0.02
Final energy, hartree per atom: -0.1575
Space-group type: R3m


Computed, not measured: an optimized crystal structure of CdRuSe2 at the PBE level of DFT.

```
CdRuSe2
1.0
-2.557 -3.300 -2.205
3.699 -1.022 -2.751
1.003 -2.232 2.182
Cd Ru Se
1 1 2
Direct
0.500 0.000 0.500
0.000 0.500 0.500
0.000 0.000 0.000
0.500 0.500 0.000
```

Summary:
ΔE_f (raw), eV per formula unit: 1.26
Final energy, hartree per atom: -0.1461
Space-group type: P4/mmm


Computed, not measured: an optimized crystal structure of Cd2RuSe at the PBE level of DFT.

```
Cd2RuSe
1.0
-2.985 -5.656 -6.441
-3.663 -7.435 -3.703
-5.808 -5.107 -4.753
Cd Ru Se
2 1 1
Direct
0.999 0.999 0.999
0.238 0.238 0.238
0.491 0.491 0.491
0.772 0.772 0.772
```

Summary:
ΔE_f (raw), eV per formula unit: -0.07
Final energy, hartree per atom: -0.1347
Space-group type: R3m


Computed, not measured: an optimized crystal structure of Cd3RuSe at the PBE level of DFT.

```
Cd3RuSe
1.0
5.180 0.000 0.000
0.000 5.180 0.000
0.000 0.000 5.180
Ru Se Cd
1 1 3
Direct
0.000 0.000 0.000
0.500 0.500 0.500
0.000 0.500 0.000
0.000 0.000 0.500
0.500 0.000 0.000
```

Summary:
ΔE_f (raw), eV per formula unit: 3.62
Final energy, hartree per atom: -0.0873
Space-group type: Pm-3m


Computed, not measured: an optimized crystal structure of Cd2RuSe at the PBE level of DFT.

```
Cd2RuSe
1.0
3.161 0.000 0.000
0.000 4.393 -0.007
0.000 2.226 6.109
Cd Ru Se
2 1 1
Direct
0.000 0.942 0.993
0.500 0.274 0.326
0.000 0.716 0.440
0.500 0.568 0.741
```

Summary:
ΔE_f (raw), eV per formula unit: 0.06
Final energy, hartree per atom: -0.1335
Space-group type: Pm


Question: The lowest ΔE_f (raw) belongs to which entry?
Answer: number 3


Question: Number 3 is which compound?
Answer: CdRuSe2


Question: Which value of final energy does entry 4 give?
Answer: -0.1575 hartree per atom